The following is a DFT calculation (PBE-GGA) of SrSmZnRh after structural relaxation.

Calculated values
E: -4.05 eV per atom
Formation energy: -291 meV per atom
V: 23.98 Å³ per atom

Cell lengths 5.138, 5.138, 5.138 Å; angles 60.00, 60.00, 60.00 degrees
Sites, in units of the cell vectors:
Zn1 0.000 0.000 0.000
Rh1 0.500 0.500 0.500
Sm1 0.250 0.250 0.250
Sr1 0.750 0.750 0.750

---

The following is a DFT calculation (PBE-GGA) of SmTaRh2 after structural relaxation.

Calculated values
E: -8.36 eV per atom
Formation energy: -546 meV per atom
V: 18.87 Å³ per atom

Cell lengths 3.194, 3.194, 7.401 Å; angles 90.00, 90.00, 90.00 degrees
Sites, in units of the cell vectors:
Sm1 0.500 0.500 0.500
Ta1 0.500 0.500 0.000
Rh1 0.000 0.000 0.200
Rh2 0.000 0.000 0.800

---

The following is a DFT calculation (PBE-GGA) of TbSm2Ta2Rh5 after structural relaxation.

Calculated values
E: -7.94 eV per atom
Formation energy: -485 meV per atom
V: 20.16 Å³ per atom

Cell lengths 3.785, 10.321, 10.321 Å; angles 90.00, 90.00, 90.00 degrees
Sites, in units of the cell vectors:
Sm1 0.000 0.677 0.177
Rh1 0.500 0.936 0.217
Sm2 0.000 0.177 0.323
Rh2 0.500 0.000 0.500
Tb1 0.000 0.000 0.000
Rh3 0.500 0.717 0.436
Rh4 0.500 0.283 0.564
Rh5 0.500 0.436 0.283
Ta1 0.000 0.120 0.620
Ta2 0.000 0.880 0.380
Rh6 0.500 0.217 0.064
Ta3 0.000 0.620 0.880
Rh7 0.500 0.064 0.783
Rh8 0.500 0.783 0.936
Rh9 0.500 0.564 0.717
Sm3 0.000 0.823 0.677
Sm4 0.000 0.323 0.823
Ta4 0.000 0.380 0.120
Tb2 0.000 0.500 0.500
Rh10 0.500 0.500 0.000

---

The following is a DFT calculation (PBE-GGA) of Sm2TmTa2Rh5 after structural relaxation.

Calculated values
E: -7.93 eV per atom
Formation energy: -493 meV per atom
V: 19.92 Å³ per atom

Cell lengths 3.756, 10.300, 10.300 Å; angles 90.00, 90.00, 90.00 degrees
Sites, in units of the cell vectors:
Rh1 0.500 0.714 0.436
Rh2 0.500 0.214 0.064
Ta1 0.000 0.621 0.879
Rh3 0.500 0.564 0.714
Sm1 0.000 0.323 0.823
Sm2 0.000 0.177 0.323
Rh4 0.500 0.436 0.286
Ta2 0.000 0.879 0.379
Sm3 0.000 0.823 0.677
Rh5 0.500 0.000 0.500
Rh6 0.500 0.500 0.000
Rh7 0.500 0.064 0.786
Rh8 0.500 0.286 0.564
Rh9 0.500 0.786 0.936
Ta3 0.000 0.379 0.121
Ta4 0.000 0.121 0.621
Tm1 0.000 0.000 0.000
Sm4 0.000 0.677 0.177
Tm2 0.000 0.500 0.500
Rh10 0.500 0.936 0.214

---

The following is a DFT calculation (PBE-GGA) of Sm2ZrTa2Rh5 after structural relaxation.

Calculated values
E: -8.29 eV per atom
Formation energy: -448 meV per atom
V: 19.29 Å³ per atom

Cell lengths 3.345, 10.739, 10.739 Å; angles 90.00, 90.00, 90.00 degrees
Sites, in units of the cell vectors:
Ta1 0.000 0.135 0.635
Rh1 0.500 0.456 0.297
Ta2 0.000 0.865 0.365
Rh2 0.500 0.297 0.544
Ta3 0.000 0.635 0.865
Rh3 0.500 0.203 0.044
Rh4 0.500 0.703 0.456
Zr1 0.000 0.000 0.000
Ta4 0.000 0.365 0.135
Sm1 0.000 0.827 0.673
Rh5 0.500 0.544 0.703
Rh6 0.500 0.000 0.500
Rh7 0.500 0.956 0.203
Sm2 0.000 0.327 0.827
Rh8 0.500 0.797 0.956
Zr2 0.000 0.500 0.500
Rh9 0.500 0.500 0.000
Sm3 0.000 0.173 0.327
Sm4 0.000 0.673 0.173
Rh10 0.500 0.044 0.797

---

The following is a DFT calculation (PBE-GGA) of TbSmRh after structural relaxation.

Calculated values
E: -6.07 eV per atom
Energy relative to the lowest polymorph listed for this composition: 122 meV per atom
Formation energy: -499 meV per atom
V: 28.07 Å³ per atom

Cell lengths 5.933, 7.014, 8.101 Å; angles 92.39, 90.00, 90.00 degrees
Sites, in units of the cell vectors:
Sm1 0.640 0.811 0.120
Rh1 0.335 0.467 0.637
Tb1 0.875 0.300 0.128
Rh2 0.835 0.033 0.863
Tb2 0.125 0.700 0.872
Sm2 0.860 0.311 0.620
Sm3 0.360 0.189 0.880
Rh3 0.665 0.533 0.363
Sm4 0.140 0.689 0.380
Tb3 0.625 0.800 0.628
Tb4 0.375 0.200 0.372
Rh4 0.165 0.967 0.137